(1)
Entry from Alexandria via LeMat-Bulk: Y2NiTe after structural relaxation (PBE).

Structure (CIF):
```
data_Y2NiTe
_space_group_name_H-M_alt 'C m c m'
_space_group_IT_number 63
_space_group_name_Hall '-C 2c 2'
_cell_length_a 4.0569
_cell_length_b 22.6008
_cell_length_c 4.3611
_cell_angle_alpha 90.00
_cell_angle_beta 90.00
_cell_angle_gamma 90.00
loop_
_atom_site_label
_atom_site_type_symbol
_atom_site_fract_x
_atom_site_fract_y
_atom_site_fract_z
_atom_site_occupancy
Y1 Y 0.0000 0.0564 0.2500 1
Y2 Y 0.0000 0.3431 0.2500 1
Ni1 Ni 0.0000 0.4683 0.2500 1
Te1 Te 0.0000 0.1951 0.2500 1
```

Calculated values
crystal system: orthorhombic
ΔE_f (raw): -0.84 eV per atom

---

(2)
Entry from Alexandria via LeMat-Bulk: Rb2Mg12Pb7 after structural relaxation (PBE).

Structure (CIF):
```
data_Rb2Mg12Pb7
_space_group_name_H-M_alt 'P -3'
_space_group_IT_number 147
_space_group_name_Hall '-P 3'
_cell_length_a 12.1127
_cell_length_b 12.1127
_cell_length_c 4.6987
_cell_angle_alpha 90.00
_cell_angle_beta 90.00
_cell_angle_gamma 120.00
loop_
_atom_site_label
_atom_site_type_symbol
_atom_site_fract_x
_atom_site_fract_y
_atom_site_fract_z
_atom_site_occupancy
Rb1 Rb 0.3333 0.6667 0.2552 1
Mg1 Mg 0.0546 0.4300 0.7497 1
Mg2 Mg 0.1157 0.2603 0.2506 1
Pb1 Pb 0.0000 0.0000 0.5000 1
Pb2 Pb 0.1143 0.7044 0.7534 1
```

Calculated values
crystal system: trigonal
E_form: -0.103 eV/atom

---

(3)
Entry from Alexandria via LeMat-Bulk: Ca2YPb after structural relaxation (PBE).

Structure (CIF):
```
data_Ca2YPb
_space_group_name_H-M_alt 'P m m 2'
_space_group_IT_number 25
_space_group_name_Hall 'P 2 -2'
_cell_length_a 3.7742
_cell_length_b 4.6998
_cell_length_c 7.3612
_cell_angle_alpha 90.00
_cell_angle_beta 90.00
_cell_angle_gamma 90.00
loop_
_atom_site_label
_atom_site_type_symbol
_atom_site_fract_x
_atom_site_fract_y
_atom_site_fract_z
_atom_site_occupancy
Ca1 Ca 0.0000 0.0000 0.0000 1
Ca2 Ca 0.5000 0.5000 0.2785 1
Y1 Y 0.5000 0.5000 0.7406 1
Pb1 Pb 0.0000 0.0000 0.5218 1
```

Calculated values
crystal system: orthorhombic
E_form: -0.226 eV/atom

---

(4)
Entry from Alexandria via LeMat-Bulk: CaY2Ho after structural relaxation (PBE).

Structure (CIF):
```
data_CaY2Ho
_space_group_name_H-M_alt 'R -3 m'
_space_group_IT_number 166
_space_group_name_Hall '-R 3 2"'
_cell_length_a 3.5542
_cell_length_b 3.5542
_cell_length_c 37.6114
_cell_angle_alpha 90.00
_cell_angle_beta 90.00
_cell_angle_gamma 120.00
loop_
_atom_site_label
_atom_site_type_symbol
_atom_site_fract_x
_atom_site_fract_y
_atom_site_fract_z
_atom_site_occupancy
Ca1 Ca 0.0000 0.0000 0.0000 1
Y1 Y 0.0000 0.0000 0.0912 1
Ho1 Ho 0.0000 0.0000 0.5000 1
```

Calculated values
crystal system: trigonal
energy above the lowest structure with this stoichiometry: 139 meV per atom
E_form: 0.156 eV/atom

---

(5)
Entry from Alexandria via LeMat-Bulk: SiRhOF2 after structural relaxation (PBE).

Structure (CIF):
```
data_SiRhOF2
_space_group_name_H-M_alt 'P 4/m m m'
_space_group_IT_number 123
_space_group_name_Hall '-P 4 2'
_cell_length_a 4.3060
_cell_length_b 4.3060
_cell_length_c 3.8101
_cell_angle_alpha 90.00
_cell_angle_beta 90.00
_cell_angle_gamma 90.00
loop_
_atom_site_label
_atom_site_type_symbol
_atom_site_fract_x
_atom_site_fract_y
_atom_site_fract_z
_atom_site_occupancy
Si1 Si 0.0000 0.0000 0.0000 1
Rh1 Rh 0.5000 0.5000 0.5000 1
O1 O 0.5000 0.5000 0.0000 1
F1 F 0.0000 0.5000 0.5000 1
```

Calculated values
crystal system: tetragonal
energy above the lowest structure with this stoichiometry: 485 meV per atom
ΔE_f (raw): -0.44 eV per atom

---

(6)
Entry from Alexandria via LeMat-Bulk: FeNiPt2S after structural relaxation (PBE).

Structure (CIF):
```
data_FeNiPt2S
_space_group_name_H-M_alt 'P 4/m m m'
_space_group_IT_number 123
_space_group_name_Hall '-P 4 2'
_cell_length_a 4.7526
_cell_length_b 4.7526
_cell_length_c 3.9085
_cell_angle_alpha 90.00
_cell_angle_beta 90.00
_cell_angle_gamma 90.00
loop_
_atom_site_label
_atom_site_type_symbol
_atom_site_fract_x
_atom_site_fract_y
_atom_site_fract_z
_atom_site_occupancy
Fe1 Fe 0.0000 0.0000 0.0000 1
Ni1 Ni 0.5000 0.5000 0.5000 1
Pt1 Pt 0.0000 0.5000 0.5000 1
S1 S 0.5000 0.5000 0.0000 1
```

Calculated values
crystal system: tetragonal
ΔE_f (raw): 0.82 eV per atom

---

(7)
Entry from Alexandria via LeMat-Bulk: LaMg2Fe after structural relaxation (PBE).

Structure (CIF):
```
data_LaMg2Fe
_space_group_name_H-M_alt 'P m m m'
_space_group_IT_number 47
_space_group_name_Hall '-P 2 2'
_cell_length_a 3.6235
_cell_length_b 4.6295
_cell_length_c 5.4224
_cell_angle_alpha 90.00
_cell_angle_beta 90.00
_cell_angle_gamma 90.00
loop_
_atom_site_label
_atom_site_type_symbol
_atom_site_fract_x
_atom_site_fract_y
_atom_site_fract_z
_atom_site_occupancy
La1 La 0.0000 0.0000 0.0000 1
Mg1 Mg 0.0000 0.5000 0.5000 1
Mg2 Mg 0.5000 0.0000 0.5000 1
Fe1 Fe 0.5000 0.5000 0.0000 1
```

Calculated values
crystal system: orthorhombic
E_form: 0.249 eV/atom

---

(8)
Entry from Alexandria via LeMat-Bulk: Re2HgCl after structural relaxation (PBE).

Structure (CIF):
```
data_Re2HgCl
_space_group_name_H-M_alt 'C 1 2/m 1'
_space_group_IT_number 12
_space_group_name_Hall '-C 2y'
_cell_length_a 11.1075
_cell_length_b 2.8232
_cell_length_c 8.1807
_cell_angle_alpha 90.00
_cell_angle_beta 131.83
_cell_angle_gamma 90.00
loop_
_atom_site_label
_atom_site_type_symbol
_atom_site_fract_x
_atom_site_fract_y
_atom_site_fract_z
_atom_site_occupancy
Re1 Re 0.1327 0.0000 0.3511 1
Hg1 Hg 0.0000 0.5000 0.5000 1
Cl1 Cl 0.0000 0.5000 0.0000 1
```

Calculated values
crystal system: monoclinic
energy above the lowest structure with this stoichiometry: 669 meV per atom
ΔE_f (raw): 0.85 eV per atom

---

(9)
Entry from Alexandria via LeMat-Bulk: KS3F after structural relaxation (PBE).

Structure (CIF):
```
data_KS3F
_space_group_name_H-M_alt 'P m -3 m'
_space_group_IT_number 221
_space_group_name_Hall '-P 4 2 3'
_cell_length_a 4.5808
_cell_length_b 4.5808
_cell_length_c 4.5808
_cell_angle_alpha 90.00
_cell_angle_beta 90.00
_cell_angle_gamma 90.00
loop_
_atom_site_label
_atom_site_type_symbol
_atom_site_fract_x
_atom_site_fract_y
_atom_site_fract_z
_atom_site_occupancy
K1 K 0.0000 0.0000 0.0000 1
S1 S 0.0000 0.5000 0.5000 1
F1 F 0.5000 0.5000 0.5000 1
```

Calculated values
crystal system: cubic
energy above the lowest structure with this stoichiometry: 0 meV per atom
ΔE_f (raw): 0.28 eV per atom

---

(10)
Entry from Alexandria via LeMat-Bulk: FeCuC2 after structural relaxation (PBE).

Structure (CIF):
```
data_FeCuC2
_space_group_name_H-M_alt 'I -4 2 d'
_space_group_IT_number 122
_space_group_name_Hall 'I -4 2bw'
_cell_length_a 4.4140
_cell_length_b 4.4140
_cell_length_c 8.6490
_cell_angle_alpha 90.00
_cell_angle_beta 90.00
_cell_angle_gamma 90.00
loop_
_atom_site_label
_atom_site_type_symbol
_atom_site_fract_x
_atom_site_fract_y
_atom_site_fract_z
_atom_site_occupancy
Fe1 Fe 0.0000 0.0000 0.0000 1
Cu1 Cu 0.0000 0.0000 0.5000 1
C1 C 0.2130 0.2500 0.1250 1
```

Calculated values
crystal system: tetragonal
energy above the lowest structure with this stoichiometry: 0 meV per atom
E_form: 0.961 eV/atom

---

(11)
Entry from Alexandria via LeMat-Bulk: Ho5Sc2In after structural relaxation (PBE).

Structure (CIF):
```
data_Ho5Sc2In
_space_group_name_H-M_alt 'I 4/m c m'
_space_group_IT_number 140
_space_group_name_Hall '-I 4 2c'
_cell_length_a 8.4803
_cell_length_b 8.4803
_cell_length_c 12.5852
_cell_angle_alpha 90.00
_cell_angle_beta 90.00
_cell_angle_gamma 90.00
loop_
_atom_site_label
_atom_site_type_symbol
_atom_site_fract_x
_atom_site_fract_y
_atom_site_fract_z
_atom_site_occupancy
Ho1 Ho 0.0000 0.0000 0.0000 1
Ho2 Ho 0.1528 0.3472 0.1602 1
Sc1 Sc 0.1403 0.3597 0.5000 1
In1 In 0.0000 0.0000 0.2500 1
```

Calculated values
crystal system: tetragonal
E_form: -0.002 eV/atom

---

(12)
Entry from Alexandria via LeMat-Bulk: Li5Zn4Ag after structural relaxation (PBE).

Structure (CIF):
```
data_Li5Zn4Ag
_space_group_name_H-M_alt 'I 4'
_space_group_IT_number 79
_space_group_name_Hall 'I 4'
_cell_length_a 8.1951
_cell_length_b 8.1951
_cell_length_c 4.9675
_cell_angle_alpha 90.00
_cell_angle_beta 90.00
_cell_angle_gamma 90.00
loop_
_atom_site_label
_atom_site_type_symbol
_atom_site_fract_x
_atom_site_fract_y
_atom_site_fract_z
_atom_site_occupancy
Li1 Li 0.0000 0.0000 0.0000 1
Li2 Li 0.1450 0.7634 0.2753 1
Zn1 Zn 0.0483 0.6539 0.7676 1
Ag1 Ag 0.0000 0.0000 0.5325 1
```

Calculated values
crystal system: tetragonal
energy above the lowest structure with this stoichiometry: 166 meV per atom
E_form: 0.004 eV/atom